(1)
ErGe2 | PBE | optimized geometry

Calculated values
The space group is Cmmm. The value obtained for the total energy is -26.4 eV for the cell shown. The calculation puts the volume at 74 Å³/f.u.

```
data_ErGe2
_chemical_formula_sum 'Er2 Ge4'
_cell_length_a 9.064
_cell_length_b 9.064
_cell_length_c 3.058
_cell_angle_alpha 90.00
_cell_angle_beta 90.00
_cell_angle_gamma 143.89
_symmetry_space_group_name_H-M 'P 1'
_symmetry_Int_Tables_number 1
_symmetry_space_group_name_Hall 'P 1'
loop_
_atom_site_label
_atom_site_type_symbol
_atom_site_fract_x
_atom_site_fract_y
_atom_site_fract_z
_atom_site_occupancy
Er1 Er 0.894 0.106 0.500 1
Er2 Er 0.106 0.894 0.500 1
Ge1 Ge 0.728 0.272 0.500 1
Ge2 Ge 0.579 0.421 0.500 1
Ge3 Ge 0.421 0.579 0.500 1
Ge4 Ge 0.272 0.728 0.500 1
```



(2)
ErGeHO4 | PBE | optimized geometry

Calculated values
The space group is P1. As for the offset from the most stable computed form: 39.6 meV/atom. The calculation puts the volume at 80 Å³/f.u.

```
data_ErGeHO4
_chemical_formula_sum 'Er4 Ge4 H4 O16'
_cell_length_a 7.343
_cell_length_b 6.657
_cell_length_c 6.859
_cell_angle_alpha 90.00
_cell_angle_beta 107.19
_cell_angle_gamma 90.02
_symmetry_space_group_name_H-M 'P 1'
_symmetry_Int_Tables_number 1
_symmetry_space_group_name_Hall 'P 1'
loop_
_atom_site_label
_atom_site_type_symbol
_atom_site_fract_x
_atom_site_fract_y
_atom_site_fract_z
_atom_site_occupancy
Er1 Er 0.205 0.855 0.086 1
Er2 Er 0.790 0.364 0.404 1
Er3 Er 0.205 0.644 0.586 1
Er4 Er 0.789 0.136 0.904 1
Ge1 Ge 0.230 0.393 0.097 1
Ge2 Ge 0.748 0.896 0.362 1
Ge3 Ge 0.231 0.107 0.597 1
Ge4 Ge 0.748 0.604 0.862 1
H1 H 0.528 0.330 0.096 1
H2 H 0.567 0.669 0.124 1
H3 H 0.528 0.170 0.595 1
H4 H 0.567 0.831 0.624 1
O1 O 0.089 0.180 0.035 1
O2 O 0.704 0.462 0.061 1
O3 O 0.532 0.793 0.186 1
O4 O 0.467 0.283 0.201 1
O5 O 0.815 0.089 0.228 1
O6 O 0.188 0.569 0.266 1
O7 O 0.248 0.940 0.407 1
O8 O 0.887 0.685 0.449 1
O9 O 0.089 0.319 0.535 1
O10 O 0.704 0.038 0.561 1
O11 O 0.532 0.706 0.684 1
O12 O 0.467 0.218 0.700 1
O13 O 0.816 0.411 0.728 1
O14 O 0.191 0.931 0.766 1
O15 O 0.249 0.559 0.907 1
O16 O 0.887 0.815 0.949 1
```



(3)
ErGeHO4 | PBE | optimized geometry

Calculated values
The space group is P2_1/c. As for the offset from the most stable computed form: 0.0 meV/atom. The calculation puts the volume at 82 Å³/f.u.

```
data_ErGeHO4
_chemical_formula_sum 'Er4 Ge4 H4 O16'
_cell_length_a 7.773
_cell_length_b 6.724
_cell_length_c 6.811
_cell_angle_alpha 90.00
_cell_angle_beta 112.77
_cell_angle_gamma 90.00
_symmetry_space_group_name_H-M 'P 1'
_symmetry_Int_Tables_number 1
_symmetry_space_group_name_Hall 'P 1'
loop_
_atom_site_label
_atom_site_type_symbol
_atom_site_fract_x
_atom_site_fract_y
_atom_site_fract_z
_atom_site_occupancy
Er1 Er 0.204 0.641 0.099 1
Er2 Er 0.796 0.141 0.401 1
Er3 Er 0.204 0.859 0.599 1
Er4 Er 0.796 0.359 0.901 1
Ge1 Ge 0.243 0.106 0.125 1
Ge2 Ge 0.757 0.606 0.375 1
Ge3 Ge 0.243 0.394 0.625 1
Ge4 Ge 0.757 0.894 0.875 1
H1 H 0.527 0.811 0.113 1
H2 H 0.473 0.311 0.387 1
H3 H 0.527 0.689 0.613 1
H4 H 0.473 0.189 0.887 1
O1 O 0.104 0.318 0.049 1
O2 O 0.719 0.045 0.064 1
O3 O 0.526 0.698 0.206 1
O4 O 0.818 0.423 0.231 1
O5 O 0.182 0.923 0.269 1
O6 O 0.474 0.198 0.294 1
O7 O 0.281 0.545 0.436 1
O8 O 0.896 0.818 0.451 1
O9 O 0.104 0.182 0.549 1
O10 O 0.719 0.455 0.564 1
O11 O 0.526 0.802 0.706 1
O12 O 0.818 0.077 0.731 1
O13 O 0.182 0.577 0.769 1
O14 O 0.474 0.302 0.794 1
O15 O 0.281 0.955 0.936 1
O16 O 0.896 0.682 0.951 1
```



(4)
ErGeH2O4 | PBE | optimized geometry

Calculated values
The space group is Fdd2. As for the offset from the most stable computed form: 0.0 meV/atom. The calculation puts the volume at 86 Å³/f.u.

```
data_ErGeH2O4
_chemical_formula_sum 'Er2 Ge2 H4 O8'
_cell_length_a 6.045
_cell_length_b 6.045
_cell_length_c 6.073
_cell_angle_alpha 108.59
_cell_angle_beta 108.59
_cell_angle_gamma 111.07
_symmetry_space_group_name_H-M 'P 1'
_symmetry_Int_Tables_number 1
_symmetry_space_group_name_Hall 'P 1'
loop_
_atom_site_label
_atom_site_type_symbol
_atom_site_fract_x
_atom_site_fract_y
_atom_site_fract_z
_atom_site_occupancy
Er1 Er 0.519 0.519 0.000 1
Er2 Er 0.269 0.769 0.500 1
Ge1 Ge 0.981 0.981 0.000 1
Ge2 Ge 0.731 0.231 0.500 1
H1 H 0.365 0.949 0.014 1
H2 H 0.101 0.185 0.486 1
H3 H 0.699 0.615 0.514 1
H4 H 0.935 0.351 0.986 1
O1 O 0.111 0.381 0.116 1
O2 O 0.984 0.860 0.246 1
O3 O 0.488 0.865 0.254 1
O4 O 0.745 0.516 0.384 1
O5 O 0.131 0.361 0.616 1
O6 O 0.610 0.234 0.746 1
O7 O 0.615 0.738 0.754 1
O8 O 0.266 0.995 0.884 1
```



(5)
ErGeH2O4 | PBE | optimized geometry

Calculated values
The space group is I-42d. As for the offset from the most stable computed form: 359.4 meV/atom. The calculation puts the volume at 90 Å³/f.u.

```
data_ErGeH2O4
_chemical_formula_sum 'Er2 Ge2 H4 O8'
_cell_length_a 6.203
_cell_length_b 6.203
_cell_length_c 6.203
_cell_angle_alpha 115.01
_cell_angle_beta 98.89
_cell_angle_gamma 115.01
_symmetry_space_group_name_H-M 'P 1'
_symmetry_Int_Tables_number 1
_symmetry_space_group_name_Hall 'P 1'
loop_
_atom_site_label
_atom_site_type_symbol
_atom_site_fract_x
_atom_site_fract_y
_atom_site_fract_z
_atom_site_occupancy
Er1 Er 0.500 0.000 0.500 1
Er2 Er 0.250 0.500 0.750 1
Ge1 Ge 0.000 0.000 0.000 1
Ge2 Ge 0.750 0.500 0.250 1
H1 H 0.518 0.500 0.018 1
H2 H 0.232 0.000 0.232 1
H3 H 0.982 0.500 0.482 1
H4 H 0.768 0.000 0.768 1
O1 O 0.197 0.820 0.027 1
O2 O 0.543 0.670 0.223 1
O3 O 0.207 0.180 0.377 1
O4 O 0.777 0.320 0.447 1
O5 O 0.127 0.680 0.457 1
O6 O 0.973 0.170 0.793 1
O7 O 0.623 0.830 0.803 1
O8 O 0.553 0.330 0.873 1
```



(6)
ErGeHO4 | PBE | optimized geometry

Calculated values
The space group is Pnma. As for the offset from the most stable computed form: 512.5 meV/atom. The calculation puts the volume at 81 Å³/f.u.

```
data_ErGeHO4
_chemical_formula_sum 'Er4 Ge4 H4 O16'
_cell_length_a 4.879
_cell_length_b 11.027
_cell_length_c 5.991
_cell_angle_alpha 90.00
_cell_angle_beta 90.00
_cell_angle_gamma 90.00
_symmetry_space_group_name_H-M 'P 1'
_symmetry_Int_Tables_number 1
_symmetry_space_group_name_Hall 'P 1'
loop_
_atom_site_label
_atom_site_type_symbol
_atom_site_fract_x
_atom_site_fract_y
_atom_site_fract_z
_atom_site_occupancy
Er1 Er 0.016 0.257 0.250 1
Er2 Er 0.484 0.757 0.250 1
Er3 Er 0.516 0.243 0.750 1
Er4 Er 0.984 0.743 0.750 1
Ge1 Ge 0.464 0.065 0.250 1
Ge2 Ge 0.036 0.565 0.250 1
Ge3 Ge 0.964 0.435 0.750 1
Ge4 Ge 0.536 0.935 0.750 1
H1 H 0.000 0.000 0.000 1
H2 H 0.500 0.500 0.000 1
H3 H 0.000 0.000 0.500 1
H4 H 0.500 0.500 0.500 1
O1 O 0.332 0.162 0.037 1
O2 O 0.168 0.662 0.037 1
O3 O 0.835 0.058 0.250 1
O4 O 0.230 0.432 0.250 1
O5 O 0.665 0.558 0.250 1
O6 O 0.270 0.932 0.250 1
O7 O 0.332 0.162 0.463 1
O8 O 0.168 0.662 0.463 1
O9 O 0.832 0.338 0.537 1
O10 O 0.668 0.838 0.537 1
O11 O 0.730 0.068 0.750 1
O12 O 0.335 0.442 0.750 1
O13 O 0.770 0.568 0.750 1
O14 O 0.165 0.942 0.750 1
O15 O 0.832 0.338 0.963 1
O16 O 0.668 0.838 0.963 1
```



(7)
ErGeH2O4 | PBE | optimized geometry

Calculated values
The space group is P2_1/m. As for the offset from the most stable computed form: 14.0 meV/atom. The calculation puts the volume at 88 Å³/f.u.

```
data_ErGeH2O4
_chemical_formula_sum 'Er2 Ge2 H4 O8'
_cell_length_a 6.797
_cell_length_b 6.161
_cell_length_c 4.937
_cell_angle_alpha 90.00
_cell_angle_beta 121.52
_cell_angle_gamma 90.00
_symmetry_space_group_name_H-M 'P 1'
_symmetry_Int_Tables_number 1
_symmetry_space_group_name_Hall 'P 1'
loop_
_atom_site_label
_atom_site_type_symbol
_atom_site_fract_x
_atom_site_fract_y
_atom_site_fract_z
_atom_site_occupancy
Er1 Er 0.172 0.250 0.122 1
Er2 Er 0.828 0.750 0.878 1
Ge1 Ge 0.706 0.250 0.407 1
Ge2 Ge 0.294 0.750 0.593 1
H1 H 0.522 0.750 0.186 1
H2 H 0.000 0.000 0.500 1
H3 H 0.000 0.500 0.500 1
H4 H 0.478 0.250 0.814 1
O1 O 0.570 0.750 0.017 1
O2 O 0.065 0.524 0.317 1
O3 O 0.065 0.976 0.317 1
O4 O 0.481 0.750 0.443 1
O5 O 0.519 0.250 0.557 1
O6 O 0.935 0.024 0.683 1
O7 O 0.935 0.476 0.683 1
O8 O 0.430 0.250 0.983 1
```



(8)
ErGeH2O4 | PBE | optimized geometry

Calculated values
The space group is P2_1/c. As for the offset from the most stable computed form: 7.4 meV/atom. The calculation puts the volume at 89 Å³/f.u.

```
data_ErGeH2O4
_chemical_formula_sum 'Er4 Ge4 H8 O16'
_cell_length_a 11.919
_cell_length_b 6.131
_cell_length_c 4.995
_cell_angle_alpha 90.00
_cell_angle_beta 102.96
_cell_angle_gamma 90.00
_symmetry_space_group_name_H-M 'P 1'
_symmetry_Int_Tables_number 1
_symmetry_space_group_name_Hall 'P 1'
loop_
_atom_site_label
_atom_site_type_symbol
_atom_site_fract_x
_atom_site_fract_y
_atom_site_fract_z
_atom_site_occupancy
Er1 Er 0.839 0.278 0.050 1
Er2 Er 0.339 0.222 0.050 1
Er3 Er 0.661 0.778 0.950 1
Er4 Er 0.161 0.722 0.950 1
Ge1 Ge 0.602 0.291 0.286 1
Ge2 Ge 0.102 0.209 0.286 1
Ge3 Ge 0.898 0.791 0.714 1
Ge4 Ge 0.398 0.709 0.714 1
H1 H 0.011 0.755 0.349 1
H2 H 0.511 0.745 0.349 1
H3 H 0.743 0.027 0.475 1
H4 H 0.243 0.473 0.475 1
H5 H 0.757 0.527 0.525 1
H6 H 0.257 0.973 0.525 1
H7 H 0.489 0.255 0.651 1
H8 H 0.989 0.245 0.651 1
O1 O 0.489 0.750 0.046 1
O2 O 0.989 0.750 0.046 1
O3 O 0.218 0.998 0.224 1
O4 O 0.718 0.502 0.224 1
O5 O 0.714 0.051 0.264 1
O6 O 0.214 0.449 0.264 1
O7 O 0.965 0.245 0.439 1
O8 O 0.465 0.255 0.439 1
O9 O 0.535 0.745 0.561 1
O10 O 0.035 0.755 0.561 1
O11 O 0.286 0.949 0.736 1
O12 O 0.786 0.551 0.736 1
O13 O 0.782 0.002 0.776 1
O14 O 0.282 0.498 0.776 1
O15 O 0.011 0.250 0.954 1
O16 O 0.511 0.250 0.954 1
```



Copy entry 8 word for word.
ErGeH2O4 | PBE | optimized geometry

Calculated values
The space group is P2_1/c. As for the offset from the most stable computed form: 7.4 meV/atom. The calculation puts the volume at 89 Å³/f.u.

```
data_ErGeH2O4
_chemical_formula_sum 'Er4 Ge4 H8 O16'
_cell_length_a 11.919
_cell_length_b 6.131
_cell_length_c 4.995
_cell_angle_alpha 90.00
_cell_angle_beta 102.96
_cell_angle_gamma 90.00
_symmetry_space_group_name_H-M 'P 1'
_symmetry_Int_Tables_number 1
_symmetry_space_group_name_Hall 'P 1'
loop_
_atom_site_label
_atom_site_type_symbol
_atom_site_fract_x
_atom_site_fract_y
_atom_site_fract_z
_atom_site_occupancy
Er1 Er 0.839 0.278 0.050 1
Er2 Er 0.339 0.222 0.050 1
Er3 Er 0.661 0.778 0.950 1
Er4 Er 0.161 0.722 0.950 1
Ge1 Ge 0.602 0.291 0.286 1
Ge2 Ge 0.102 0.209 0.286 1
Ge3 Ge 0.898 0.791 0.714 1
Ge4 Ge 0.398 0.709 0.714 1
H1 H 0.011 0.755 0.349 1
H2 H 0.511 0.745 0.349 1
H3 H 0.743 0.027 0.475 1
H4 H 0.243 0.473 0.475 1
H5 H 0.757 0.527 0.525 1
H6 H 0.257 0.973 0.525 1
H7 H 0.489 0.255 0.651 1
H8 H 0.989 0.245 0.651 1
O1 O 0.489 0.750 0.046 1
O2 O 0.989 0.750 0.046 1
O3 O 0.218 0.998 0.224 1
O4 O 0.718 0.502 0.224 1
O5 O 0.714 0.051 0.264 1
O6 O 0.214 0.449 0.264 1
O7 O 0.965 0.245 0.439 1
O8 O 0.465 0.255 0.439 1
O9 O 0.535 0.745 0.561 1
O10 O 0.035 0.755 0.561 1
O11 O 0.286 0.949 0.736 1
O12 O 0.786 0.551 0.736 1
O13 O 0.782 0.002 0.776 1
O14 O 0.282 0.498 0.776 1
O15 O 0.011 0.250 0.954 1
O16 O 0.511 0.250 0.954 1
```



- volume of number 4 (ErGeH2O4)?
  86 Å³/f.u.